Cs2CrCl4F2 | PBE+U | optimized geometry

Computed properties:
**Total magnetic moment**: 2.02 μB per formula unit
**E**: -73.0 eV per cell

a = 11.914 Å, b = 7.254 Å, c = 5.977 Å
α = 90.00°, β = 101.35°, γ = 90.00°
Space group C2/m (No. 12)
Unique sites:
Cs: 0.171 0.000 0.323
Cr: 0.000 0.500 0.000
Cl: 0.087 0.270 0.817
F: 0.124 0.500 0.237